A geometry-optimized Sm4Ir2I5 structure. Source: Alexandria via LeMat-Bulk, functional PBE.

* space-group type: Immm (71)
* total energy: -4.28 eV/atom
* formation energy (no corrections): -0.25 eV/atom

```
Sm4Ir2I5
1.0
-1.9761 4.9265 9.6464
1.9761 -4.9265 9.6464
1.9761 4.9265 -9.6464
Sm Ir I
4 2 5
Direct
0.1738 0.1738 0.0000 Sm
0.2023 0.5000 0.7023 Sm
0.7977 0.5000 0.2977 Sm
0.8262 0.8262 0.0000 Sm
0.3044 0.3044 0.0000 Ir
0.6956 0.6956 0.0000 Ir
0.0916 0.3414 0.7502 I
0.4088 0.6586 0.7502 I
0.5000 0.0000 0.5000 I
0.5912 0.3414 0.2498 I
0.9084 0.6586 0.2498 I
```

A geometry-optimized Hf2InAg structure. Source: Alexandria via LeMat-Bulk, functional PBE.

* formation energy from the elements: 339 meV per atom
* space-group type: I-42d (122)
* total energy: -6.04 eV/atom

```
Hf2InAg
1.0
-3.9304 3.9304 2.9033
3.9304 -3.9304 2.9033
3.9304 3.9304 -2.9033
Hf In Ag
4 2 2
Direct
0.1062 0.6250 0.9812 Hf
0.3750 0.3562 0.4812 Hf
0.6438 0.1250 0.0188 Hf
0.8750 0.8938 0.5188 Hf
0.2500 0.7500 0.5000 In
0.5000 0.5000 0.0000 In
0.0000 0.0000 0.0000 Ag
0.7500 0.2500 0.5000 Ag
```

A geometry-optimized NaMnC2 structure. Source: Alexandria via LeMat-Bulk, functional PBE.

* formation energy from the elements: 686 meV per atom
* space-group type: I-42d (122)
* E above lowest polymorph: 0.000 eV/atom
* total energy: -6.55 eV/atom

```
NaMnC2
1.0
-2.4230 2.4230 5.1598
2.4230 -2.4230 5.1598
2.4230 2.4230 -5.1598
Na Mn C
2 2 4
Direct
0.0000 0.0000 0.0000 Na
0.7500 0.2500 0.5000 Na
0.2500 0.7500 0.5000 Mn
0.5000 0.5000 0.0000 Mn
0.3722 0.6250 0.2472 C
0.3750 0.6222 0.7472 C
0.3778 0.1250 0.7528 C
0.8750 0.6278 0.2528 C
```

total energy of number 3 (NaMnC2)?
-6.55 eV/atom

total energy of number 1 (Sm4Ir2I5)?
-4.28 eV/atom

What did the third record say?
A geometry-optimized NaMnC2 structure. Source: Alexandria via LeMat-Bulk, functional PBE.

* formation energy from the elements: 686 meV per atom
* space-group type: I-42d (122)
* E above lowest polymorph: 0.000 eV/atom
* total energy: -6.55 eV/atom

```
NaMnC2
1.0
-2.4230 2.4230 5.1598
2.4230 -2.4230 5.1598
2.4230 2.4230 -5.1598
Na Mn C
2 2 4
Direct
0.0000 0.0000 0.0000 Na
0.7500 0.2500 0.5000 Na
0.2500 0.7500 0.5000 Mn
0.5000 0.5000 0.0000 Mn
0.3722 0.6250 0.2472 C
0.3750 0.6222 0.7472 C
0.3778 0.1250 0.7528 C
0.8750 0.6278 0.2528 C
```